1.
A plane-wave DFT calculation with PBE was carried out for a relaxed structure of Er4Ge6Pd5.

E in eV/f.u.: -83.25
Magnetic moment in μB per formula unit: 0.000
DOS at the Fermi energy in states/eV per cell: 15.2
Volume in Å³/cell: 588.6
Space-group type: Cmc2_1
DFT formation energy in eV/atom: -0.76

```
Er4Ge6Pd5
1.0
-0.411 -2.126 -3.539
9.561 2.056 0.086
2.655 -12.653 7.291
Er Ge Pd
8 12 10
direct
0.034 0.068 0.767
0.839 0.677 0.807
0.822 0.645 0.441
0.966 0.932 0.267
0.014 0.028 0.504
0.178 0.355 0.941
0.986 0.972 0.004
0.161 0.323 0.307
0.766 0.532 0.257
0.113 0.227 0.116
0.573 0.145 0.907
0.234 0.468 0.757
0.223 0.445 0.489
0.577 0.155 0.630
0.445 0.889 0.857
0.887 0.773 0.616
0.423 0.845 0.130
0.427 0.855 0.407
0.555 0.111 0.357
0.777 0.555 0.989
0.849 0.699 0.128
0.151 0.301 0.628
0.354 0.708 0.981
0.551 0.102 0.178
0.659 0.318 0.774
0.341 0.682 0.274
0.449 0.898 0.678
0.694 0.387 0.120
0.306 0.613 0.620
0.646 0.292 0.481
```

***

2.
A plane-wave DFT calculation with PBE was carried out for a relaxed structure of TcH2Ru.

E in eV/f.u.: -25.58
Magnetic moment in μB per formula unit: 0.000
DOS at the Fermi energy in states/eV per cell: 5.6
Volume in Å³/cell: 70.0
Space-group type: I-42d

```
TcH2Ru
1.0
4.132 0.000 0.000
0.000 4.132 0.000
2.066 2.066 4.102
H Ru Tc
4 2 2
direct
0.875 0.883 0.750
0.117 0.625 0.250
0.375 0.367 0.750
0.633 0.125 0.250
0.000 0.000 0.000
0.750 0.250 0.500
0.250 0.750 0.500
0.500 0.500 0.000
```

***

3.
A plane-wave DFT calculation with PBE was carried out for a relaxed structure of Mg2H3.

E in eV/f.u.: -13.37
Magnetic moment in μB per formula unit: 0.000
DOS at the Fermi energy in states/eV per cell: 1.2
Volume in Å³/cell: 100.3
Space-group type: C2/c

```
Mg2H3
1.0
-0.410 3.678 -2.975
-3.307 4.355 2.050
0.910 5.202 2.516
H Mg
6 4
direct
0.854 0.313 0.311
0.001 0.750 0.250
0.999 0.250 0.750
0.523 0.813 0.811
0.146 0.687 0.689
0.477 0.187 0.189
0.616 0.621 0.618
0.854 0.879 0.882
0.384 0.379 0.382
0.146 0.121 0.118
```

***

4.
A plane-wave DFT calculation with PBE was carried out for a relaxed structure of Ac2GaPRh6.

E in eV/f.u.: -67.29
Magnetic moment in μB per formula unit: 0.000
DOS at the Fermi energy in states/eV per cell: 7.6
Volume in Å³/cell: 199.5
Space-group type: C2/m
DFT formation energy in eV/atom: -0.65

```
Ac2GaPRh6
1.0
-5.835 1.433 1.146
1.028 -1.313 6.901
-1.323 4.610 3.801
Ga Ac Rh P
1 2 6 1
direct
0.000 0.000 0.000
0.269 0.808 0.461
0.731 0.192 0.539
0.810 0.322 0.934
0.256 0.322 0.935
0.257 0.322 0.487
0.744 0.678 0.065
0.190 0.678 0.066
0.743 0.678 0.513
0.500 0.500 0.000
```

***

5.
A plane-wave DFT calculation with PBE was carried out for a relaxed structure of TcSnHF.

E in eV/f.u.: -20.86
Magnetic moment in μB per formula unit: 0.775
DOS at the Fermi energy in states/eV per cell: 5.0
Volume in Å³/cell: 113.7
Space-group type: Cm

```
TcSnHF
1.0
4.060 0.000 0.001
0.000 3.167 0.000
-4.009 0.000 8.840
F H Sn Tc
2 2 2 2
direct
0.098 0.000 0.787
0.098 0.500 0.287
0.803 0.000 0.441
0.803 0.500 0.941
0.403 0.500 0.584
0.403 0.000 0.084
0.659 0.000 0.848
0.659 0.500 0.348
```

***

6.
A plane-wave DFT calculation with PBE was carried out for a relaxed structure of RbDyCu2Cl8.

E in eV/f.u.: -43.39
ΔE_f (raw) in meV per atom: -1238.0
Magnetic moment in μB per formula unit: 2.050
DOS at the Fermi energy in states/eV per cell: 10.2
Volume in Å³/cell: 312.0
Space-group type: I-4

```
RbDyCu2Cl8
1.0
6.482 0.000 0.000
0.000 6.482 0.000
-3.241 -3.241 7.425
Cu Cl Rb Dy
2 8 1 1
direct
0.500 0.500 0.000
0.250 0.750 0.500
0.587 0.639 0.613
0.026 0.413 0.387
0.473 0.321 0.176
0.679 0.298 0.824
0.145 0.527 0.824
0.026 0.974 0.613
0.702 0.855 0.176
0.361 0.974 0.387
0.000 0.000 0.000
0.750 0.250 0.500
```

***

7.
A plane-wave DFT calculation with PBE was carried out for a relaxed structure of HgTe2Se.

E in eV/f.u.: -9.83
ΔE_f (raw) in meV per atom: 60.1
Magnetic moment in μB per formula unit: 0.000
DOS at the Fermi energy in states/eV per cell: 1.3
Volume in Å³/cell: 114.5
Space-group type: C2/m

```
HgTe2Se
1.0
4.384 -0.005 -0.004
2.270 3.751 -0.004
2.131 1.200 6.959
Hg Te Se
1 2 1
direct
0.250 0.250 0.250
0.537 0.537 0.498
0.963 0.963 0.002
0.750 0.750 0.750
```

***

8.
A plane-wave DFT calculation with PBE was carried out for a relaxed structure of PdPt2Pb8.

E in eV/f.u.: -48.37
Magnetic moment in μB per formula unit: 0.000
DOS at the Fermi energy in states/eV per cell: 5.1
Volume in Å³/cell: 300.5
Space-group type: C2/m
DFT formation energy in eV/atom: -0.13

```
PdPt2Pb8
1.0
3.861 0.000 -0.739
-0.612 6.326 -3.195
0.436 -0.973 12.730
Pb Pd Pt
8 1 2
direct
0.232 0.172 0.465
0.366 0.700 0.732
0.768 0.828 0.535
0.609 0.774 0.219
0.634 0.300 0.268
0.023 0.315 0.045
0.977 0.685 0.955
0.391 0.226 0.781
0.500 0.000 0.000
0.168 0.653 0.337
0.832 0.347 0.663
```

***

- What is the E in the first record?
  -83.25 eV/f.u.

***

- What is the E in the first record?
  -83.25 eV/f.u.

***

- E of number 7 (HgTe2Se)?
  -9.83 eV/f.u.

***

- The lowest E belongs to which entry?
  Er4Ge6Pd5